# 1
The following is a PBE calculation of a geometry-optimized CaCrIn4 structure, from the Alexandria database.

Results
M_tot	4.1	μB per formula unit
calculated volume	155.5	Å³/f.u.
calculated formation energy	15.6	kJ per mole of atoms
VASP energy	-21.61	eV/f.u.

a = 6.0362 Å, b = 6.0362 Å, c = 6.0362 Å
α = 60.00°, β = 60.00°, γ = 60.00°
Fractional coordinates of all 6 atoms:
Ca: 0.7500 0.7500 0.7500
Cr: 0.0000 0.0000 0.0000
In: 0.8758 0.3748 0.3748
In: 0.3748 0.3748 0.8758
In: 0.3748 0.8758 0.3748
In: 0.3748 0.3748 0.3748

=====

# 2
The following is a PBE calculation of a geometry-optimized CaCrIn3 structure, from the Alexandria database.

Results
M_tot	0.5	μB per formula unit
calculated volume	189.4	Å³/f.u.
calculated formation energy	147.9	kJ per mole of atoms
VASP energy	-12.18	eV/f.u.
energy relative to the lowest polymorph listed for this composition	1431	meV per atom

a = 5.7427 Å, b = 5.7427 Å, c = 5.7427 Å
α = 90.00°, β = 90.00°, γ = 90.00°
Fractional coordinates of all 5 atoms:
Cr: 0.5000 0.5000 0.5000
Ca: 0.0000 0.0000 0.0000
In: 0.0000 0.5000 0.0000
In: 0.0000 0.0000 0.5000
In: 0.5000 0.0000 0.0000

=====

# 3
The following is a PBE calculation of a geometry-optimized CaCrIn3 structure, from the Alexandria database.

Results
M_tot	1.0	μB per formula unit
calculated volume	133.0	Å³/f.u.
calculated formation energy	9.9	kJ per mole of atoms
VASP energy	-19.33	eV/f.u.
energy relative to the lowest polymorph listed for this composition	0	meV per atom

a = 5.1049 Å, b = 5.1049 Å, c = 5.1049 Å
α = 90.00°, β = 90.00°, γ = 90.00°
Fractional coordinates of all 5 atoms:
Cr: 0.0000 0.0000 0.0000
Ca: 0.5000 0.5000 0.5000
In: 0.0000 0.5000 0.0000
In: 0.0000 0.0000 0.5000
In: 0.5000 0.0000 0.0000

=====

- Among the records above, which one has the highest VASP energy?
  number 2